## Sc2SiGe (PBE)

Data for a geometry-optimized Sc2SiGe structure.

Results
N(E_F) = 0.65 states/eV/atom
SG = P2_1/m, No. 11
formation energy without anion corrections = -0.82 eV per atom
crystal system = monoclinic

Cell lengths 5.3904, 3.7335, 7.8133 Å; angles 90.00, 107.93, 90.00 degrees
Closest atoms and distances in Å follow each position.
Positions (direct):
Sc 0.2010 0.2500 0.4286  3 Si 2.77-3.00, 4 Ge 2.77-2.98
Sc 0.2883 0.7500 0.0665  4 Si 2.76-3.02, 3 Ge 2.80-3.00
Sc 0.7117 0.2500 0.9335  4 Si 2.76-3.02, 3 Ge 2.80-3.00
Sc 0.7990 0.7500 0.5714  3 Si 2.77-3.00, 4 Ge 2.77-2.98
Si 0.1230 0.2500 0.7924  2 Ge 2.53, 5 Sc 2.76-2.77
Si 0.8770 0.7500 0.2076  2 Ge 2.53, 5 Sc 2.76-2.77
Ge 0.3804 0.7500 0.7072  2 Si 2.53, 5 Sc 2.77-2.80
Ge 0.6196 0.2500 0.2928  2 Si 2.53, 5 Sc 2.77-2.80

## Pm2CuBiS5 (PBE)

Data for a geometry-optimized Pm2CuBiS5 structure.

Results
SG = Cmc2_1, No. 36
formation energy without anion corrections = -1.25 eV per atom
crystal system = orthorhombic

Cell lengths 8.5942, 8.5942, 11.8674 Å; angles 90.00, 90.00, 153.50 degrees
Closest atoms and distances in Å follow each position.
Positions (direct):
Pm 0.1147 0.8853 0.5000  8 S 2.85-3.07
Pm 0.1166 0.8834 0.8810  8 S 2.84-3.00
Pm 0.8834 0.1166 0.3810  8 S 2.84-3.00
Pm 0.8853 0.1147 0.0000  8 S 2.85-3.07
Cu 0.4983 0.5017 0.6842  4 S 2.29-2.44
Cu 0.5017 0.4983 0.1842  4 S 2.29-2.44
Bi 0.1872 0.8128 0.1943  6 S 2.72-2.86
Bi 0.8128 0.1872 0.6943  6 S 2.72-2.86
S 0.0340 0.9660 0.2711  2 Cu 2.29
S 0.2951 0.7049 0.8595  2 Bi 2.80, 3 Pm 2.99-3.00
S 0.2958 0.7042 0.5213  2 Bi 2.86, 3 Pm 2.97-3.04, 2 S 3.14
S 0.3559 0.6441 0.1940  1 Cu 2.44
S 0.4914 0.5086 0.4913  1 Cu 2.29
S 0.5086 0.4914 0.9913  1 Cu 2.29
S 0.6441 0.3559 0.6940  1 Cu 2.44
S 0.7042 0.2958 0.0213  2 Bi 2.86, 3 Pm 2.97-3.04, 2 S 3.14
S 0.7049 0.2951 0.3595  2 Bi 2.80, 3 Pm 2.99-3.00
S 0.9660 0.0340 0.7711  2 Cu 2.29

## Li3Mo (PBE)

Data for a geometry-optimized Li3Mo structure.

Results
N(E_F) = 0.71 states/eV/atom
SG = Cmcm, No. 63
crystal system = orthorhombic
DFT formation energy = 150 kJ/mol of formula units

Cell lengths 5.9456, 5.9456, 4.4474 Å; angles 90.00, 90.00, 122.52 degrees
Closest atoms and distances in Å follow each position.
Positions (direct):
Li 0.0680 0.9320 0.7500  6 Li 2.64-2.91, 2 Mo 2.87
Li 0.0710 0.4367 0.7500  6 Li 2.63-2.91, 1 Mo 2.71
Li 0.4367 0.0710 0.2500  6 Li 2.63-2.91, 1 Mo 2.71
Li 0.5633 0.9290 0.7500  6 Li 2.63-2.91, 1 Mo 2.71
Li 0.9290 0.5633 0.2500  6 Li 2.63-2.91, 1 Mo 2.71
Li 0.9320 0.0680 0.2500  6 Li 2.64-2.91, 2 Mo 2.87
Mo 0.4605 0.5395 0.2500  2 Mo 2.37
Mo 0.5395 0.4605 0.7500  2 Mo 2.37

## Ho4Tm9Cd11 (PBE)

Data for a geometry-optimized Ho4Tm9Cd11 structure.

Results
N(E_F) = 1.11 states/eV/atom
SG = Cmmm, No. 65
crystal system = orthorhombic
DFT formation energy = -511 kJ/mol of formula units

Cell lengths 13.7559, 13.7559, 3.4658 Å; angles 90.00, 90.00, 108.73 degrees
Closest atoms and distances in Å follow each position.
Positions (direct):
Ho 0.0846 0.2501 0.0000  6 Cd 3.21-3.36, 3 Tm 3.26-3.57, 2 Ho 3.47
Ho 0.2501 0.0846 0.0000  6 Cd 3.21-3.36, 3 Tm 3.26-3.57, 2 Ho 3.47
Ho 0.7499 0.9154 0.0000  6 Cd 3.21-3.36, 3 Tm 3.26-3.57, 2 Ho 3.47
Ho 0.9154 0.7499 0.0000  6 Cd 3.21-3.36, 3 Tm 3.26-3.57, 2 Ho 3.47
Tm 0.0000 0.0000 0.0000  4 Ho 3.26, 4 Cd 3.37, 2 Tm 3.47
Tm 0.1172 0.6559 0.0000  8 Cd 3.18-3.39, 1 Ho 3.42, 2 Tm 3.47
Tm 0.2949 0.4835 0.0000  8 Cd 3.16-3.26, 2 Tm 3.47
Tm 0.3441 0.8828 0.0000  8 Cd 3.18-3.39, 1 Ho 3.42, 2 Tm 3.47
Tm 0.4835 0.2949 0.0000  8 Cd 3.16-3.26, 2 Tm 3.47
Tm 0.5165 0.7051 0.0000  8 Cd 3.16-3.26, 2 Tm 3.47
Tm 0.6559 0.1172 0.0000  8 Cd 3.18-3.39, 1 Ho 3.42, 2 Tm 3.47
Tm 0.7051 0.5165 0.0000  8 Cd 3.16-3.26, 2 Tm 3.47
Tm 0.8828 0.3441 0.0000  8 Cd 3.18-3.39, 1 Ho 3.42, 2 Tm 3.47
Cd 0.0888 0.4508 0.5000  3 Cd 3.15-3.47, 6 Tm 3.23-3.24, 2 Ho 3.24
Cd 0.1291 0.8709 0.5000  4 Ho 3.36, 6 Tm 3.37-3.39, 2 Cd 3.47
Cd 0.2901 0.2901 0.5000  4 Tm 3.16, 4 Ho 3.21, 3 Cd 3.36-3.47
Cd 0.3181 0.6819 0.5000  8 Tm 3.16-3.18, 2 Cd 3.47
Cd 0.4508 0.0888 0.5000  3 Cd 3.15-3.47, 6 Tm 3.23-3.24, 2 Ho 3.24
Cd 0.5000 0.5000 0.5000  8 Tm 3.26, 4 Cd 3.36-3.47
Cd 0.5492 0.9112 0.5000  3 Cd 3.15-3.47, 6 Tm 3.23-3.24, 2 Ho 3.24
Cd 0.6819 0.3181 0.5000  8 Tm 3.16-3.18, 2 Cd 3.47
Cd 0.7099 0.7099 0.5000  4 Tm 3.16, 4 Ho 3.21, 3 Cd 3.36-3.47
Cd 0.8709 0.1291 0.5000  4 Ho 3.36, 6 Tm 3.37-3.39, 2 Cd 3.47
Cd 0.9112 0.5492 0.5000  3 Cd 3.15-3.47, 6 Tm 3.23-3.24, 2 Ho 3.24

## Cd8GaAu2 (PBE)

Data for a geometry-optimized Cd8GaAu2 structure.

Results
N(E_F) = 0.23 states/eV/atom
SG = C2/m, No. 12
crystal system = monoclinic
DFT formation energy = -10 kJ/mol of formula units

Cell lengths 7.4356, 7.4356, 5.1921 Å; angles 101.80, 101.80, 64.89 degrees
Closest atoms and distances in Å follow each position.
Positions (direct):
Cd 0.1159 0.7248 0.6898  2 Au 2.88-3.11, 1 Ga 2.89, 6 Cd 3.02-3.14
Cd 0.1403 0.1403 0.8507  7 Cd 2.87-3.14, 2 Au 3.06-3.12
Cd 0.2752 0.8841 0.3102  2 Au 2.88-3.11, 1 Ga 2.89, 6 Cd 3.02-3.14
Cd 0.3757 0.3757 0.9915  1 Ga 2.72, 2 Au 2.84-2.87, 3 Cd 2.87-3.02
Cd 0.6243 0.6243 0.0085  1 Ga 2.72, 2 Au 2.84-2.87, 3 Cd 2.87-3.02
Cd 0.7248 0.1159 0.6898  2 Au 2.88-3.11, 1 Ga 2.89, 6 Cd 3.02-3.14
Cd 0.8597 0.8597 0.1493  7 Cd 2.87-3.14, 2 Au 3.06-3.12
Cd 0.8841 0.2752 0.3102  2 Au 2.88-3.11, 1 Ga 2.89, 6 Cd 3.02-3.14
Ga 0.5000 0.5000 0.5000  6 Cd 2.72-2.89, 2 Au 2.73
Au 0.2779 0.2779 0.4373  1 Ga 2.73, 4 Cd 2.84-2.88
Au 0.7221 0.7221 0.5627  1 Ga 2.73, 4 Cd 2.84-2.88

## TePtCl (PBE)

Data for a geometry-optimized TePtCl structure.

Results
N(E_F) = 0.56 states/eV/atom
SG = I4mm, No. 107
formation energy without anion corrections = -0.12 eV per atom
crystal system = tetragonal

Cell lengths 6.2911, 6.2911, 6.2911 Å; angles 145.34, 145.34, 49.83 degrees
Closest atoms and distances in Å follow each position.
Positions (direct):
Te 0.0000 0.0000 0.0000  1 Cl 2.64, 4 Pt 2.71
Pt 0.4496 0.4496 0.0000  1 Cl 2.49, 4 Te 2.71
Cl 0.2317 0.2317 0.0000  1 Pt 2.49, 1 Te 2.64

## BiSeO4 (PBE)

Data for a geometry-optimized BiSeO4 structure.

Results
N(E_F) = 0.25 states/eV/atom
SG = P2/m, No. 10
formation energy without anion corrections = -0.45 eV per atom
crystal system = monoclinic

Cell lengths 5.2710, 3.2968, 5.9195 Å; angles 90.00, 102.72, 90.00 degrees
Closest atoms and distances in Å follow each position.
Positions (direct):
Bi 0.0000 0.0000 0.0000  6 O 2.36-2.47
Se 0.0000 0.5000 0.5000  6 O 1.91-2.06
O 0.1973 0.0000 0.4182  2 Se 2.06
O 0.1979 0.5000 0.8114  1 Se 1.91
O 0.8021 0.5000 0.1886  1 Se 1.91
O 0.8027 0.0000 0.5818  2 Se 2.06

## Pm3Y5Er3 (PBE)

Data for a geometry-optimized Pm3Y5Er3 structure.

Results
N(E_F) = 1.71 states/eV/atom
SG = P-62m, No. 189
crystal system = hexagonal
DFT formation energy = 375 kJ/mol of formula units

Cell lengths 11.1849, 11.1849, 3.4534 Å; angles 90.00, 90.00, 120.00 degrees
Closest atoms and distances in Å follow each position.
Positions (direct):
Pm 0.0000 0.4012 0.0000  2 Er 3.22, 2 Y 3.38, 2 Pm 3.45
Pm 0.4012 0.0000 0.0000  2 Er 3.22, 2 Y 3.38, 2 Pm 3.45
Pm 0.5988 0.5988 0.0000  2 Er 3.22, 2 Y 3.38, 2 Pm 3.45
Y 0.0000 0.6607 0.5000  2 Er 3.29, 2 Pm 3.38, 2 Y 3.45
Y 0.3333 0.6667 0.5000  5 Y 3.45-3.70, 6 Pm 3.82
Y 0.3393 0.3393 0.5000  2 Er 3.29, 2 Pm 3.38, 2 Y 3.45
Y 0.6607 0.0000 0.5000  2 Er 3.29, 2 Pm 3.38, 2 Y 3.45
Y 0.6667 0.3333 0.5000  5 Y 3.45-3.70, 6 Pm 3.82
Er 0.0000 0.1581 0.5000  2 Er 3.06, 2 Pm 3.22, 2 Y 3.29
Er 0.1581 0.0000 0.5000  2 Er 3.06, 2 Pm 3.22, 2 Y 3.29
Er 0.8419 0.8419 0.5000  2 Er 3.06, 2 Pm 3.22, 2 Y 3.29

## Cs2Mg3F8 (PBE)

Data for a geometry-optimized Cs2Mg3F8 structure.

Results
N(E_F) = 0.00 states/eV/atom
SG = C2/m, No. 12
formation energy without anion corrections = -3.29 eV per atom
crystal system = monoclinic

Cell lengths 7.7013, 7.7013, 5.4392 Å; angles 106.88, 106.88, 48.82 degrees
Closest atoms and distances in Å follow each position.
Positions (direct):
Cs 0.2232 0.2232 0.1845  4 F 2.83-2.98
Cs 0.7768 0.7768 0.8155  4 F 2.83-2.98
Mg 0.2410 0.7590 0.5000  6 F 2.00-2.16
Mg 0.5000 0.5000 0.0000  6 F 2.00-2.08
Mg 0.7590 0.2410 0.5000  6 F 2.00-2.16
F 0.0902 0.0902 0.4812  2 Mg 2.01
F 0.2078 0.6368 0.1252  2 Mg 2.00
F 0.3632 0.7922 0.8748  2 Mg 2.00
F 0.4212 0.4212 0.6048  3 Mg 2.08-2.16
F 0.5788 0.5788 0.3952  3 Mg 2.08-2.16
F 0.6368 0.2078 0.1252  2 Mg 2.00
F 0.7922 0.3632 0.8748  2 Mg 2.00
F 0.9098 0.9098 0.5188  2 Mg 2.01

Total magnetization values (in μB/cell) by entry order: 0.00, 0.00, 0.00, 0.00, 0.00, 0.00, 0.00, 0.00, 0.07.